3
Lattice="4.3854 0.0000 0.0000 2.1927 3.7979 0.0000 2.1927 1.2660 3.5807" Properties=species:S:1:pos:R:3 comment="ZrMnRh PBE-GGA relaxed" spacegroup="F-43m, No. 216" dos_ef_per_ev_atom=0.80 energy_ev_per_atom=-8.442 density_g_cm3=6.94 formation_energy_mev_per_atom=-86 pbc="T T T"
Mn 4.3854 2.5319 1.7903
Zr 0.0000 0.0000 0.0000
Rh 6.5781 3.7979 2.6855